Record 1
First-principles (PBE-GGA) data for an optimized crystal structure of CdCu2Ir, as listed in Alexandria via LeMat-Bulk.

Results
crystal system: orthorhombic
total magnetic moment: 0.000 μB per atom
formation energy: 223.9 meV/atom

Cell: 2.856 4.650 8.990 Å, 90.00 90.00 90.00°
Fractional positions:
Cd: 0.000 0.000 0.000
Cd: 0.500 0.500 0.000
Cu: 0.000 0.000 0.514
Cu: 0.000 0.500 0.737
Cu: 0.500 0.000 0.737
Cu: 0.500 0.500 0.514
Ir: 0.000 0.500 0.276
Ir: 0.500 0.000 0.276



Record 2
First-principles (PBE-GGA) data for an optimized crystal structure of TbY2AgC, as listed in Alexandria via LeMat-Bulk.

Results
crystal system: tetragonal
total magnetic moment: 0.161 μB per atom
formation energy: -209.2 meV/atom

Cell: 4.893 4.893 4.962 Å, 90.00 90.00 90.00°
Fractional positions:
Tb: 0.000 0.000 0.000
Y: 0.000 0.500 0.500
Y: 0.500 0.000 0.500
Ag: 0.500 0.500 0.001
C: 0.000 0.000 0.501



Record 3
First-principles (PBE-GGA) data for an optimized crystal structure of NaSb2Se2, as listed in Alexandria via LeMat-Bulk.

Results
formation energy (no corrections): -0.167 eV/atom
relative energy among the computed polymorphs: 34 meV/atom
crystal system: tetragonal
total magnetic moment: 0.000 μB per atom

Cell: 8.550 8.550 3.893 Å, 90.00 90.00 90.00°
Fractional positions:
Na: 0.000 0.000 0.000
Na: 0.500 0.500 0.000
Sb: 0.139 0.361 0.000
Sb: 0.361 0.861 0.000
Sb: 0.639 0.139 0.000
Sb: 0.861 0.639 0.000
Se: 0.206 0.706 0.500
Se: 0.294 0.206 0.500
Se: 0.706 0.794 0.500
Se: 0.794 0.294 0.500



Record 4
First-principles (PBE-GGA) data for an optimized crystal structure of BrCl3F4, as listed in Alexandria via LeMat-Bulk.

Results
formation energy (no corrections): -0.494 eV/atom
crystal system: triclinic
total magnetic moment: 0.000 μB per atom

Cell: 4.533 9.128 10.116 Å, 110.41 93.50 91.94°
Fractional positions:
Br: 0.179 0.334 0.259
Br: 0.821 0.666 0.741
Cl: 0.116 0.542 0.938
Cl: 0.256 0.086 0.768
Cl: 0.491 0.204 0.674
Cl: 0.509 0.796 0.326
Cl: 0.744 0.914 0.232
Cl: 0.884 0.458 0.062
F: 0.147 0.130 0.136
F: 0.215 0.532 0.394
F: 0.245 0.260 0.398
F: 0.328 0.660 0.754
F: 0.672 0.340 0.246
F: 0.755 0.740 0.602
F: 0.785 0.468 0.606
F: 0.853 0.870 0.864



Record 5
First-principles (PBE-GGA) data for an optimized crystal structure of RbLaPd, as listed in Alexandria via LeMat-Bulk.

Results
crystal system: orthorhombic
total magnetic moment: 0.000 μB per atom
formation energy: -316.7 meV/atom

Cell: 4.459 5.779 10.757 Å, 90.00 90.00 90.00°
Fractional positions:
Rb: 0.250 0.250 0.150
Rb: 0.750 0.750 0.850
La: 0.250 0.250 0.569
La: 0.750 0.750 0.431
Pd: 0.250 0.750 0.608
Pd: 0.750 0.250 0.392



Record 6
First-principles (PBE-GGA) data for an optimized crystal structure of VSiBr2, as listed in Alexandria via LeMat-Bulk.

Results
formation energy (no corrections): 0.126 eV/atom
relative energy among the computed polymorphs: 60 meV/atom
crystal system: trigonal
total magnetic moment: 0.684 μB per atom

Cell: 3.492 3.492 32.451 Å, 90.00 90.00 120.00°
Fractional positions:
V: 0.000 0.000 0.000
V: 0.333 0.667 0.667
V: 0.667 0.333 0.333
Si: 0.000 0.000 0.500
Si: 0.333 0.667 0.167
Si: 0.667 0.333 0.833
Br: 0.000 0.000 0.383
Br: 0.000 0.000 0.617
Br: 0.333 0.667 0.050
Br: 0.333 0.667 0.283
Br: 0.667 0.333 0.717
Br: 0.667 0.333 0.950



Please write out number 3 again, unchanged.
First-principles (PBE-GGA) data for an optimized crystal structure of NaSb2Se2, as listed in Alexandria via LeMat-Bulk.

Results
formation energy (no corrections): -0.167 eV/atom
relative energy among the computed polymorphs: 34 meV/atom
crystal system: tetragonal
total magnetic moment: 0.000 μB per atom

Cell: 8.550 8.550 3.893 Å, 90.00 90.00 90.00°
Fractional positions:
Na: 0.000 0.000 0.000
Na: 0.500 0.500 0.000
Sb: 0.139 0.361 0.000
Sb: 0.361 0.861 0.000
Sb: 0.639 0.139 0.000
Sb: 0.861 0.639 0.000
Se: 0.206 0.706 0.500
Se: 0.294 0.206 0.500
Se: 0.706 0.794 0.500
Se: 0.794 0.294 0.500



Which of these has the highest total magnetic moment?
VSiBr2